# HfCrIr2

Crystalline HfCrIr2 at its relaxed geometry (PBE, the Alexandria database).

Lattice parameters (Å, degrees): 4.0511 4.0511 8.9348 76.90 76.90 90.00
Element x y z (fractional)
Ir (0.3750, 0.4128, 0.7500)
Ir (0.1628, 0.6250, 0.2500)
Ir (0.5872, 0.1250, 0.2500)
Ir (0.8750, 0.8372, 0.7500)
Hf (0.7500, 0.2500, 0.5000)
Hf (0.0000, 0.0000, 0.0000)
Cr (0.2500, 0.7500, 0.5000)
Cr (0.5000, 0.5000, 0.0000)

Calculated formation energy in eV/atom: 0.21
Electronic total energy in eV per formula unit: -36.44
M_tot in μB/f.u.: 0.0

***

# Tl3AgF4

Crystalline Tl3AgF4 at its relaxed geometry (PBE, the Alexandria database).

Lattice parameters (Å, degrees): 6.5421 6.5340 8.3553 90.00 90.00 90.00
Element x y z (fractional)
F (0.2901, 0.4909, 0.0000)
F (0.0754, 0.2534, 0.7214)
F (0.5754, 0.7466, 0.7786)
F (0.5754, 0.7466, 0.2214)
F (0.0754, 0.2534, 0.2786)
F (0.7901, 0.5091, 0.5000)
F (0.1824, 0.8078, 0.5000)
F (0.6824, 0.1922, 0.0000)
Tl (0.3858, 0.8886, 0.0000)
Tl (0.4827, 0.3506, 0.7568)
Tl (0.4827, 0.3506, 0.2432)
Tl (0.9827, 0.6494, 0.2568)
Tl (0.8858, 0.1114, 0.5000)
Tl (0.9827, 0.6494, 0.7432)
Ag (0.0407, 0.1753, 0.0000)
Ag (0.5407, 0.8247, 0.5000)

Formation energy from raw total energies in eV/atom: -1.532
Excess energy over the best structure of this formula in the dataset in meV per atom: 0
Electronic total energy in eV per formula unit: -29.69
M_tot in μB/f.u.: 0.0

***

# Cu2MoAu

Crystalline Cu2MoAu at its relaxed geometry (PBE, the Alexandria database).

Lattice parameters (Å, degrees): 2.6862 4.8466 4.6352 90.00 90.00 90.00
Element x y z (fractional)
Au (0.0000, 0.5000, 0.5000)
Mo (0.5000, 0.0000, 0.5000)
Cu (0.0000, 0.0000, 0.0000)
Cu (0.5000, 0.5000, 0.0000)

Excess energy over the best structure of this formula in the dataset in meV per atom: 219
Calculated formation energy in eV/atom: 0.36
Electronic total energy in eV per formula unit: -20.88
M_tot in μB/f.u.: 0.0

***

# ZnCo3Sn

Crystalline ZnCo3Sn at its relaxed geometry (PBE, the Alexandria database).

Lattice parameters (Å, degrees): 4.6621 4.6621 4.6621 90.00 90.00 90.00
Element x y z (fractional)
Sn (0.0000, 0.0000, 0.0000)
Zn (0.5000, 0.5000, 0.5000)
Co (0.0000, 0.0000, 0.5000)
Co (0.5000, 0.0000, 0.0000)
Co (0.0000, 0.5000, 0.0000)

Excess energy over the best structure of this formula in the dataset in meV per atom: 468
Calculated formation energy in eV/atom: 1.38
Electronic total energy in eV per formula unit: -19.71
M_tot in μB/f.u.: 4.1

***

# KLi2Mg

Crystalline KLi2Mg at its relaxed geometry (PBE, the Alexandria database).

Lattice parameters (Å, degrees): 3.4556 5.7851 5.7851 90.00 90.00 90.00
Element x y z (fractional)
Li (0.0000, 0.5000, 0.5000)
Li (0.0000, 0.0000, 0.0000)
Mg (0.5000, 0.5000, 0.0000)
K (0.5000, 0.0000, 0.5000)

Calculated formation energy in eV/atom: 0.19
Electronic total energy in eV per formula unit: -5.77
M_tot in μB/f.u.: 0.0

***

# MnCd2Ni

Crystalline MnCd2Ni at its relaxed geometry (PBE, the Alexandria database).

Lattice parameters (Å, degrees): 5.3585 5.3585 4.6420 64.74 64.74 34.24
Element x y z (fractional)
Mn (0.5305, 0.5305, 0.4710)
Cd (0.7582, 0.7582, 0.7404)
Cd (0.9785, 0.9785, 0.0232)
Ni (0.2327, 0.2327, 0.2654)

Excess energy over the best structure of this formula in the dataset in meV per atom: 76
Calculated formation energy in eV/atom: 0.15
Electronic total energy in eV per formula unit: -16.19
M_tot in μB/f.u.: 4.2

***

# Zr3Zn

Crystalline Zr3Zn at its relaxed geometry (PBE, the Alexandria database).

Lattice parameters (Å, degrees): 6.3013 5.2858 5.3195 72.67 90.00 90.00
Element x y z (fractional)
Zn (0.3696, 0.2500, 0.0000)
Zn (0.6304, 0.7500, 0.0000)
Zr (0.6054, 0.2500, 0.5000)
Zr (0.1287, 0.2500, 0.5000)
Zr (0.8638, 0.2500, 0.0000)
Zr (0.1362, 0.7500, 0.0000)
Zr (0.8713, 0.7500, 0.5000)
Zr (0.3946, 0.7500, 0.5000)

Calculated formation energy in eV/atom: 0.00
Electronic total energy in eV per formula unit: -26.93
M_tot in μB/f.u.: 0.0

***

# Er2Zr2S7

Crystalline Er2Zr2S7 at its relaxed geometry (PBE, the Alexandria database).

Lattice parameters (Å, degrees): 3.7629 8.2954 8.2954 59.68 76.89 76.89
Element x y z (fractional)
S (0.8137, 0.0790, 0.2936)
S (0.1863, 0.7064, 0.9210)
S (0.3872, 0.7164, 0.5093)
S (0.6128, 0.4907, 0.2836)
S (0.1474, 0.1352, 0.5701)
S (0.5000, 0.0125, 0.9875)
S (0.8526, 0.4299, 0.8648)
Zr (0.2566, 0.3301, 0.1566)
Zr (0.7434, 0.8434, 0.6699)
Er (0.0000, 0.7882, 0.2118)
Er (0.5000, 0.3221, 0.6779)

Formation energy from raw total energies in eV/atom: -1.660
Electronic total energy in eV per formula unit: -73.37
M_tot in μB/f.u.: 0.0

***

# Zn3CdCu

Crystalline Zn3CdCu at its relaxed geometry (PBE, the Alexandria database).

Lattice parameters (Å, degrees): 4.6445 4.6445 4.6445 90.00 90.00 90.00
Element x y z (fractional)
Zn (0.0000, 0.5000, 0.0000)
Zn (0.0000, 0.0000, 0.5000)
Zn (0.5000, 0.0000, 0.0000)
Cd (0.5000, 0.5000, 0.5000)
Cu (0.0000, 0.0000, 0.0000)

Excess energy over the best structure of this formula in the dataset in meV per atom: 241
Calculated formation energy in eV/atom: 0.26
Electronic total energy in eV per formula unit: -7.55
M_tot in μB/f.u.: 0.0

***

# InSiS2

Crystalline InSiS2 at its relaxed geometry (PBE, the Alexandria database).

Lattice parameters (Å, degrees): 6.7669 6.7669 6.8260 60.29 60.29 90.00
Element x y z (fractional)
In (0.7500, 0.2500, 0.5000)
In (0.0000, 0.0000, 0.0000)
S (0.2389, 0.6250, 0.2500)
S (0.3750, 0.4889, 0.7500)
S (0.8750, 0.7611, 0.7500)
S (0.5111, 0.1250, 0.2500)
Si (0.2500, 0.7500, 0.5000)
Si (0.5000, 0.5000, 0.0000)

Formation energy from raw total energies in eV/atom: -0.124
Electronic total energy in eV per formula unit: -16.91
M_tot in μB/f.u.: 0.0

***

# InRe2Ni

Crystalline InRe2Ni at its relaxed geometry (PBE, the Alexandria database).

Lattice parameters (Å, degrees): 4.9805 4.9805 2.7962 90.00 90.00 116.86
Element x y z (fractional)
Ni (0.0000, 0.5000, 0.5000)
Re (0.0000, 0.0000, 0.0000)
Re (0.5000, 0.5000, 0.0000)
In (0.5000, 0.0000, 0.5000)

Calculated formation energy in eV/atom: 0.55
Electronic total energy in eV per formula unit: -31.20
M_tot in μB/f.u.: 0.0

***

# Cs2TiF4

Crystalline Cs2TiF4 at its relaxed geometry (PBE, the Alexandria database).

Lattice parameters (Å, degrees): 4.3450 4.3450 8.1022 74.45 74.45 90.00
Element x y z (fractional)
F (0.0000, 0.5000, 0.0000)
F (0.5000, 0.0000, 0.0000)
F (0.1424, 0.1424, 0.7151)
F (0.8576, 0.8576, 0.2849)
Cs (0.6479, 0.6479, 0.7043)
Cs (0.3521, 0.3521, 0.2957)
Ti (0.0000, 0.0000, 0.0000)

Formation energy from raw total energies in eV/atom: -2.754
Electronic total energy in eV per formula unit: -36.36
M_tot in μB/f.u.: 2.0

***

# Ca2HfTi

Crystalline Ca2HfTi at its relaxed geometry (PBE, the Alexandria database).

Lattice parameters (Å, degrees): 5.3594 5.3594 5.3594 60.00 60.00 60.00
Element x y z (fractional)
Ca (0.7500, 0.7500, 0.7500)
Ca (0.2500, 0.2500, 0.2500)
Hf (0.5000, 0.5000, 0.5000)
Ti (0.0000, 0.0000, 0.0000)

Excess energy over the best structure of this formula in the dataset in meV per atom: 0
Calculated formation energy in eV/atom: 0.79
Electronic total energy in eV per formula unit: -18.70
M_tot in μB/f.u.: 0.0

***

# InNiMo2

Crystalline InNiMo2 at its relaxed geometry (PBE, the Alexandria database).

Lattice parameters (Å, degrees): 2.8111 2.8111 7.9778 90.00 90.00 90.07
Element x y z (fractional)
Ni (0.5000, 0.5000, 0.2500)
Mo (0.0000, 0.0000, 0.0327)
Mo (0.0000, 0.0000, 0.4673)
In (0.5000, 0.5000, 0.7500)

Calculated formation energy in eV/atom: 0.26
Electronic total energy in eV per formula unit: -29.16
M_tot in μB/f.u.: 0.0

***

# GdO2

Crystalline GdO2 at its relaxed geometry (PBE, the Alexandria database).

Lattice parameters (Å, degrees): 3.3835 3.3835 6.4508 90.00 90.00 90.00
Element x y z (fractional)
O (0.5000, 0.5000, 0.0000)
O (0.0000, 0.0000, 0.0000)
O (0.5000, 0.0000, 0.6352)
O (0.0000, 0.5000, 0.3648)
Gd (0.5000, 0.0000, 0.2674)
Gd (0.0000, 0.5000, 0.7326)

Formation energy from raw total energies in eV/atom: -2.634
Electronic total energy in eV per formula unit: -31.90
M_tot in μB/f.u.: 6.4

***

# Ni2AgPb2

Crystalline Ni2AgPb2 at its relaxed geometry (PBE, the Alexandria database).

Lattice parameters (Å, degrees): 7.1635 7.1635 3.6376 90.00 90.00 90.00
Element x y z (fractional)
Pb (0.8296, 0.3296, 0.5000)
Pb (0.6704, 0.8296, 0.5000)
Pb (0.1704, 0.6704, 0.5000)
Pb (0.3296, 0.1704, 0.5000)
Ag (0.5000, 0.5000, 0.0000)
Ag (0.0000, 0.0000, 0.0000)
Ni (0.6269, 0.1269, 0.0000)
Ni (0.3731, 0.8731, 0.0000)
Ni (0.8731, 0.6269, 0.0000)
Ni (0.1269, 0.3731, 0.0000)

Excess energy over the best structure of this formula in the dataset in meV per atom: 0
Calculated formation energy in eV/atom: 0.17
Electronic total energy in eV per formula unit: -20.99
M_tot in μB/f.u.: 0.0

***

# Tb6MgIr

Crystalline Tb6MgIr at its relaxed geometry (PBE, the Alexandria database).

Lattice parameters (Å, degrees): 6.9349 6.9531 7.4659 62.38 62.49 60.04
Element x y z (fractional)
Tb (0.9672, 0.5780, 0.2488)
Tb (0.7932, 0.0318, 0.7508)
Tb (0.2068, 0.9682, 0.2492)
Tb (0.4220, 0.7943, 0.7507)
Tb (0.5780, 0.2057, 0.2493)
Tb (0.0328, 0.4220, 0.7512)
Ir (0.0000, 0.0000, 0.0000)
Mg (0.5000, 0.5000, 0.5000)

Calculated formation energy in eV/atom: 0.00
Electronic total energy in eV per formula unit: -38.26
M_tot in μB/f.u.: 0.0

***

# K2Te2Pb

Crystalline K2Te2Pb at its relaxed geometry (PBE, the Alexandria database).

Lattice parameters (Å, degrees): 8.8669 8.8669 4.9155 90.00 90.00 90.00
Element x y z (fractional)
K (0.3657, 0.1343, 0.5000)
K (0.8657, 0.3657, 0.5000)
K (0.1343, 0.6343, 0.5000)
K (0.6343, 0.8657, 0.5000)
Pb (0.5000, 0.5000, 0.0000)
Pb (0.0000, 0.0000, 0.0000)
Te (0.8256, 0.6744, 0.0000)
Te (0.6744, 0.1744, 0.0000)
Te (0.1744, 0.3256, 0.0000)
Te (0.3256, 0.8256, 0.0000)

Formation energy from raw total energies in eV/atom: -0.616
Excess energy over the best structure of this formula in the dataset in meV per atom: 162
Electronic total energy in eV per formula unit: -15.27
M_tot in μB/f.u.: 0.0

***

# LiAlGe

Crystalline LiAlGe at its relaxed geometry (PBE, the Alexandria database).

Lattice parameters (Å, degrees): 6.8934 4.0940 7.5913 90.00 90.00 90.00
Element x y z (fractional)
Ge (0.7690, 0.2500, 0.1143)
Ge (0.2690, 0.2500, 0.3857)
Ge (0.2310, 0.7500, 0.8857)
Ge (0.7310, 0.7500, 0.6143)
Al (0.3542, 0.7500, 0.5685)
Al (0.1458, 0.2500, 0.0685)
Al (0.6458, 0.2500, 0.4315)
Al (0.8542, 0.7500, 0.9315)
Li (0.5248, 0.2500, 0.8351)
Li (0.9752, 0.7500, 0.3351)
Li (0.4752, 0.7500, 0.1649)
Li (0.0248, 0.2500, 0.6649)

Calculated formation energy in eV/atom: -0.25
Electronic total energy in eV per formula unit: -11.02
M_tot in μB/f.u.: 0.0

***

# K2HgBr

Crystalline K2HgBr at its relaxed geometry (PBE, the Alexandria database).

Lattice parameters (Å, degrees): 7.8257 7.8257 7.8257 144.25 144.25 51.45
Element x y z (fractional)
Br (0.5000, 0.5000, 0.0000)
Hg (0.7500, 0.2500, 0.5000)
K (0.2500, 0.7500, 0.5000)
K (0.0000, 0.0000, 0.0000)

Formation energy from raw total energies in eV/atom: -0.783
Excess energy over the best structure of this formula in the dataset in meV per atom: 125
Electronic total energy in eV per formula unit: -7.30
M_tot in μB/f.u.: 0.0